Record 1
DFT (GGA-PBE) results for a geometry-optimized KAl2TlIr structure.

a = 4.8582 Å, b = 4.8582 Å, c = 5.3855 Å
α = 90.00°, β = 90.00°, γ = 90.00°
Closest atoms and distances in Å follow each position.
Element x y z (fractional)
1 K 0.0000 0.0000 0.0000  4 Tl 3.44, 8 Al 3.63
2 Al 0.0000 0.5000 0.5000  2 Ir 2.43
3 Al 0.5000 0.0000 0.5000  2 Ir 2.43
4 Tl 0.5000 0.5000 0.0000  2 Ir 2.69
5 Ir 0.5000 0.5000 0.5000  4 Al 2.43, 2 Tl 2.69

Calculated values
Crystal system   tetragonal
Space-group type   P4/mmm, No. 123
ΔH_f (0 K)   -121 meV per atom


Record 2
DFT (GGA-PBE) results for a geometry-optimized VCu2Sb structure.

a = 3.8699 Å, b = 3.8699 Å, c = 4.0121 Å
α = 90.00°, β = 90.00°, γ = 90.00°
Closest atoms and distances in Å follow each position.
Element x y z (fractional)
1 V 0.0000 0.0000 0.0000  4 Sb 2.74, 8 Cu 2.79
2 Cu 0.0000 0.5000 0.5000  4 Cu 2.74, 4 Sb 2.79, 4 V 2.79
3 Cu 0.5000 0.0000 0.5000  4 Cu 2.74, 4 Sb 2.79, 4 V 2.79
4 Sb 0.5000 0.5000 0.0000  4 V 2.74, 8 Cu 2.79

Calculated values
Crystal system   tetragonal
Space-group type   P4/mmm, No. 123
ΔE_f (raw)   0.40 eV/f.u.


Record 3
DFT (GGA-PBE) results for a geometry-optimized LiYPuCo structure.

a = 4.8506 Å, b = 4.8506 Å, c = 4.8506 Å
α = 60.00°, β = 60.00°, γ = 60.00°
Closest atoms and distances in Å follow each position.
Element x y z (fractional)
1 Li 0.0000 0.0000 0.0000  4 Pu 2.97, 4 Y 2.97
2 Y 0.2500 0.2500 0.2500  4 Co 2.97, 4 Li 2.97
3 Pu 0.7500 0.7500 0.7500  4 Co 2.97, 4 Li 2.97
4 Co 0.5000 0.5000 0.5000  4 Y 2.97, 4 Pu 2.97

Calculated values
Crystal system   cubic
Space-group type   F-43m, No. 216
ΔH_f (0 K)   107 meV per atom


Record 4
DFT (GGA-PBE) results for a geometry-optimized Gd2InSi structure.

a = 3.8116 Å, b = 3.8116 Å, c = 6.7829 Å
α = 90.00°, β = 90.00°, γ = 90.00°
Closest atoms and distances in Å follow each position.
Element x y z (fractional)
1 Gd 0.0000 0.0000 0.2232  1 Gd 3.03, 4 Si 3.09, 4 In 3.28
2 Gd 0.0000 0.0000 0.7768  1 Gd 3.03, 4 Si 3.09, 4 In 3.28
3 In 0.5000 0.5000 0.5000  8 Gd 3.28, 2 Si 3.39
4 Si 0.5000 0.5000 0.0000  8 Gd 3.09, 2 In 3.39

Calculated values
Crystal system   tetragonal
Space-group type   P4/mmm, No. 123
Relative energy among the computed polymorphs   0 meV per atom
ΔE_f (raw)   -1.97 eV/f.u.


Record 5
DFT (GGA-PBE) results for a geometry-optimized AcTbPd4 structure.

a = 10.3986 Å, b = 10.3986 Å, c = 5.8449 Å
α = 90.00°, β = 90.00°, γ = 156.05°
Closest atoms and distances in Å follow each position.
Element x y z (fractional)
1 Ac 0.2183 0.7817 0.7500  7 Pd 3.04-3.23
2 Ac 0.7817 0.2183 0.2500  7 Pd 3.04-3.23
3 Tb 0.0726 0.9274 0.2500  11 Pd 2.88-3.00
4 Tb 0.9274 0.0726 0.7500  11 Pd 2.88-3.00
5 Pd 0.0690 0.9310 0.7500  3 Tb 2.88-2.92, 8 Pd 2.96-2.97, 1 Ac 3.04
6 Pd 0.3595 0.6405 0.0043  5 Pd 2.86-2.97, 2 Tb 2.96, 2 Ac 3.04
7 Pd 0.3595 0.6405 0.4957  5 Pd 2.86-2.97, 2 Tb 2.96, 2 Ac 3.04
8 Pd 0.5000 0.5000 0.0000  8 Pd 2.86-2.96, 4 Tb 3.00
9 Pd 0.5000 0.5000 0.5000  8 Pd 2.86-2.96, 4 Tb 3.00
10 Pd 0.6405 0.3595 0.5043  5 Pd 2.86-2.97, 2 Tb 2.96, 2 Ac 3.04
11 Pd 0.6405 0.3595 0.9957  5 Pd 2.86-2.97, 2 Tb 2.96, 2 Ac 3.04
12 Pd 0.9310 0.0690 0.2500  3 Tb 2.88-2.92, 8 Pd 2.96-2.97, 1 Ac 3.04

Calculated values
Crystal system   orthorhombic
Space-group type   Cmcm, No. 63
ΔH_f (0 K)   -829 meV per atom
Relative energy among the computed polymorphs   0 meV per atom


Record 6
DFT (GGA-PBE) results for a geometry-optimized MgCrPd structure.

a = 5.6840 Å, b = 5.6840 Å, c = 5.9675 Å
α = 107.07°, β = 107.07°, γ = 30.48°
Closest atoms and distances in Å follow each position.
Element x y z (fractional)
1 Mg 0.0000 0.0000 0.0000  4 Pd 2.72, 4 Mg 2.98-2.99, 4 Cr 3.03
2 Mg 0.0000 0.0000 0.5000  4 Pd 2.68, 4 Mg 2.98-2.99, 4 Cr 3.00
3 Cr 0.2941 0.2941 0.6284  2 Cr 2.15
4 Cr 0.7059 0.7059 0.3716  2 Cr 2.15
5 Pd 0.3390 0.3390 0.1669  3 Cr 2.63-2.94, 4 Mg 2.68-2.72, 2 Pd 2.77
6 Pd 0.6610 0.6610 0.8331  3 Cr 2.63-2.94, 4 Mg 2.68-2.72, 2 Pd 2.77

Calculated values
Crystal system   monoclinic
Space-group type   C2/m, No. 12
ΔH_f (0 K)   -52 meV per atom


Record 7
DFT (GGA-PBE) results for a geometry-optimized AcPmTl2S4 structure.

a = 7.4429 Å, b = 4.2906 Å, c = 7.8685 Å
α = 90.00°, β = 108.31°, γ = 90.00°
Closest atoms and distances in Å follow each position.
Element x y z (fractional)
1 Ac 0.0000 0.0000 0.0000  6 S 2.97-2.98
2 Pm 0.5000 0.5000 0.0000  6 S 2.85-2.88
3 Tl 0.0000 0.5000 0.5000  6 S 3.35-3.37
4 Tl 0.5000 0.0000 0.5000  6 S 3.26
5 S 0.2489 0.5000 0.2086  1 Pm 2.85, 2 Ac 2.97
6 S 0.2765 0.0000 0.7958  2 Pm 2.88, 1 Ac 2.98
7 S 0.7235 0.0000 0.2042  2 Pm 2.88, 1 Ac 2.98
8 S 0.7511 0.5000 0.7914  1 Pm 2.85, 2 Ac 2.97

Calculated values
Crystal system   monoclinic
Space-group type   P2/m, No. 10
ΔE_f (raw)   -11.78 eV/f.u.


Record 8
DFT (GGA-PBE) results for a geometry-optimized YBO structure.

a = 5.0950 Å, b = 5.0950 Å, c = 5.4257 Å
α = 99.24°, β = 99.24°, γ = 38.03°
Closest atoms and distances in Å follow each position.
Element x y z (fractional)
1 Y 0.0000 0.0000 0.0000  2 O 2.18
2 Y 0.7122 0.7122 0.4896  3 O 2.19-2.43
3 B 0.0035 0.0035 0.4966  2 B 1.80
4 B 0.4500 0.4500 0.5701  1 O 1.51
5 O 0.3486 0.3486 0.7535  1 B 1.51
6 O 0.6475 0.6475 0.0832  3 Y 2.18-2.19

Calculated values
Crystal system   monoclinic
Space-group type   Cm, No. 8
Relative energy among the computed polymorphs   96 meV per atom
ΔE_f (raw)   -5.34 eV/f.u.


Record 9
DFT (GGA-PBE) results for a geometry-optimized ErTiN structure.

a = 3.2320 Å, b = 3.2320 Å, c = 5.3444 Å
α = 90.00°, β = 90.00°, γ = 120.00°
Closest atoms and distances in Å follow each position.
Element x y z (fractional)
1 Er 0.0000 0.0000 0.0000  3 N 2.36
2 Ti 0.6667 0.3333 0.4593  3 N 2.12
3 N 0.3333 0.6667 0.2708  3 Ti 2.12, 3 Er 2.36

Calculated values
Crystal system   trigonal
Space-group type   P3m1, No. 156
Relative energy among the computed polymorphs   0 meV per atom
ΔE_f (raw)   -3.06 eV/f.u.


Record 10
DFT (GGA-PBE) results for a geometry-optimized Li2YHAu structure.

a = 4.1367 Å, b = 4.1367 Å, c = 4.7634 Å
α = 90.00°, β = 90.00°, γ = 90.00°
Closest atoms and distances in Å follow each position.
Element x y z (fractional)
1 Li 0.0000 0.5000 0.0000  2 H 2.07
2 Li 0.5000 0.0000 0.0000  2 H 2.07
3 Y 0.0000 0.0000 0.5000  2 H 2.38
4 H 0.0000 0.0000 0.0000  4 Li 2.07
5 Au 0.5000 0.5000 0.5000  4 Y 2.93, 8 Li 3.15

Calculated values
Crystal system   tetragonal
Space-group type   P4/mmm, No. 123
Relative energy among the computed polymorphs   0 meV per atom


Record 11
DFT (GGA-PBE) results for a geometry-optimized Cr2Te2Se structure.

a = 10.1734 Å, b = 10.1734 Å, c = 10.1734 Å
α = 21.47°, β = 21.47°, γ = 21.47°
Closest atoms and distances in Å follow each position.
Element x y z (fractional)
1 Cr 0.1139 0.1139 0.1139  3 Te 2.68, 3 Se 2.69
2 Cr 0.8861 0.8861 0.8861  3 Te 2.68, 3 Se 2.69
3 Te 0.2713 0.2713 0.2713  3 Cr 2.68
4 Te 0.7287 0.7287 0.7287  3 Cr 2.68
5 Se 0.5000 0.5000 0.5000  6 Cr 2.69

Calculated values
Crystal system   trigonal
Space-group type   R-3m, No. 166
ΔE_f (raw)   -1.23 eV/f.u.


Record 12
DFT (GGA-PBE) results for a geometry-optimized RbBa2SrIr structure.

a = 6.3207 Å, b = 6.3207 Å, c = 6.1516 Å
α = 90.00°, β = 90.00°, γ = 90.00°
Closest atoms and distances in Å follow each position.
Element x y z (fractional)
1 Rb 0.0000 0.0000 0.0000  8 Ba 4.41, 4 Sr 4.47
2 Ba 0.0000 0.5000 0.5000  2 Ir 3.16
3 Ba 0.5000 0.0000 0.5000  2 Ir 3.16
4 Sr 0.5000 0.5000 0.0000  2 Ir 3.08
5 Ir 0.5000 0.5000 0.5000  2 Sr 3.08, 4 Ba 3.16

Calculated values
Crystal system   tetragonal
Space-group type   P4/mmm, No. 123
ΔH_f (0 K)   -35 meV per atom


Record 13
DFT (GGA-PBE) results for a geometry-optimized Cs3TcF6 structure.

a = 6.8705 Å, b = 6.8705 Å, c = 6.8705 Å
α = 119.65°, β = 119.65°, γ = 90.60°
Closest atoms and distances in Å follow each position.
Element x y z (fractional)
1 Cs 0.0000 0.0000 0.0000  6 F 2.81
2 Cs 0.2500 0.7500 0.5000  12 F 3.46-3.48
3 Cs 0.7500 0.2500 0.5000  12 F 3.46-3.48
4 Tc 0.5000 0.5000 0.0000  6 F 2.02-2.07
5 F 0.2881 0.2881 0.5761  1 Tc 2.07
6 F 0.2881 0.7119 0.0000  1 Tc 2.07
7 F 0.2912 0.2912 0.0000  1 Tc 2.02
8 F 0.7088 0.7088 0.0000  1 Tc 2.02
9 F 0.7119 0.2881 0.0000  1 Tc 2.07
10 F 0.7119 0.7119 0.4239  1 Tc 2.07

Calculated values
Crystal system   tetragonal
Space-group type   I4/mmm, No. 139
ΔE_f (raw)   -24.33 eV/f.u.


Record 14
DFT (GGA-PBE) results for a geometry-optimized Sr3Au2 structure.

a = 12.4339 Å, b = 4.4668 Å, c = 12.4475 Å
α = 90.00°, β = 90.00°, γ = 90.00°
Closest atoms and distances in Å follow each position.
Element x y z (fractional)
1 Sr 0.0486 0.2500 0.1290  5 Au 3.24-3.40
2 Sr 0.1174 0.7500 0.5601  5 Au 3.18-3.34
3 Sr 0.2229 0.2500 0.8080  4 Au 3.27-3.31
4 Sr 0.2771 0.7500 0.3080  4 Au 3.27-3.31
5 Sr 0.3826 0.2500 0.0601  5 Au 3.18-3.34
6 Sr 0.4514 0.7500 0.6290  5 Au 3.24-3.40
7 Sr 0.5486 0.2500 0.3710  5 Au 3.24-3.40
8 Sr 0.6174 0.7500 0.9399  5 Au 3.18-3.34
9 Sr 0.7229 0.2500 0.6920  4 Au 3.27-3.31
10 Sr 0.7771 0.7500 0.1920  4 Au 3.27-3.31
11 Sr 0.8826 0.2500 0.4399  5 Au 3.18-3.34
12 Sr 0.9514 0.7500 0.8710  5 Au 3.24-3.40
13 Au 0.0138 0.7500 0.3140  7 Sr 3.18-3.32
14 Au 0.1916 0.7500 0.0008  7 Sr 3.27-3.40
15 Au 0.3084 0.2500 0.5008  7 Sr 3.27-3.40
16 Au 0.4862 0.2500 0.8140  7 Sr 3.18-3.32
17 Au 0.5138 0.7500 0.1860  7 Sr 3.18-3.32
18 Au 0.6916 0.7500 0.4992  7 Sr 3.27-3.40
19 Au 0.8084 0.2500 0.9992  7 Sr 3.27-3.40
20 Au 0.9862 0.2500 0.6860  7 Sr 3.18-3.32

Calculated values
Crystal system   orthorhombic
Space-group type   Pnma, No. 62
ΔH_f (0 K)   -654 meV per atom
Relative energy among the computed polymorphs   22 meV per atom


Record 15
DFT (GGA-PBE) results for a geometry-optimized NaV3Cl8 structure.

a = 7.4172 Å, b = 7.4172 Å, c = 7.6670 Å
α = 119.51°, β = 119.51°, γ = 60.01°
Closest atoms and distances in Å follow each position.
Element x y z (fractional)
1 Na 0.0000 0.0000 0.0000  6 Cl 2.68
2 V 0.0000 0.5000 0.0000  6 Cl 2.44-2.53
3 V 0.5000 0.0000 0.0000  6 Cl 2.44-2.53
4 V 0.5000 0.5000 0.0000  6 Cl 2.44-2.53
5 Cl 0.2528 0.2528 0.2104  2 V 2.44, 1 Na 2.68
6 Cl 0.2527 0.7088 0.2104  2 V 2.44, 1 Na 2.68
7 Cl 0.2609 0.2609 0.7867  3 V 2.53
8 Cl 0.2912 0.7473 0.7896  2 V 2.44, 1 Na 2.68
9 Cl 0.7088 0.2527 0.2104  2 V 2.44, 1 Na 2.68
10 Cl 0.7391 0.7391 0.2133  3 V 2.53
11 Cl 0.7473 0.2912 0.7896  2 V 2.44, 1 Na 2.68
12 Cl 0.7472 0.7472 0.7896  2 V 2.44, 1 Na 2.68

Calculated values
Crystal system   monoclinic
Space-group type   C2/m, No. 12
ΔE_f (raw)   -15.55 eV/f.u.


Record 16
DFT (GGA-PBE) results for a geometry-optimized SrMnTe3 structure.

a = 5.2116 Å, b = 5.2116 Å, c = 5.2116 Å
α = 90.00°, β = 90.00°, γ = 90.00°
Closest atoms and distances in Å follow each position.
Element x y z (fractional)
1 Sr 0.0000 0.0000 0.0000  12 Te 3.69
2 Mn 0.5000 0.5000 0.5000  6 Te 2.61
3 Te 0.0000 0.5000 0.5000  2 Mn 2.61
4 Te 0.5000 0.0000 0.5000  2 Mn 2.61
5 Te 0.5000 0.5000 0.0000  2 Mn 2.61

Calculated values
Crystal system   cubic
Space-group type   Pm-3m, No. 221
Relative energy among the computed polymorphs   0 meV per atom
ΔE_f (raw)   -1.14 eV/f.u.


Record 17
DFT (GGA-PBE) results for a geometry-optimized Cd6InPb2 structure.

a = 8.8454 Å, b = 8.8454 Å, c = 3.4815 Å
α = 90.02°, β = 90.02°, γ = 60.08°
Closest atoms and distances in Å follow each position.
Element x y z (fractional)
1 Cd 0.1685 0.8315 0.0000  3 Cd 2.93-2.98
2 Cd 0.1690 0.4998 0.0016  3 Cd 2.93-2.99
3 Cd 0.4998 0.1690 0.0016  3 Cd 2.93-2.99
4 Cd 0.5002 0.8310 0.9984  3 Cd 2.93-2.99
5 Cd 0.8310 0.5002 0.9984  3 Cd 2.93-2.99
6 Cd 0.8315 0.1685 0.0000  3 Cd 2.93-2.98
7 In 0.5000 0.5000 0.5000  12 Cd 3.40-3.41, 2 In 3.48
8 Pb 0.1667 0.1667 0.5001  12 Cd 3.43-3.44, 2 Pb 3.48
9 Pb 0.8333 0.8333 0.4999  12 Cd 3.43-3.44, 2 Pb 3.48

Calculated values
Crystal system   monoclinic
Space-group type   C2/m, No. 12
ΔH_f (0 K)   64 meV per atom
Relative energy among the computed polymorphs   11 meV per atom


Record 18
DFT (GGA-PBE) results for a geometry-optimized Sr3ZrF structure.

a = 6.4578 Å, b = 6.4578 Å, c = 6.4578 Å
α = 90.00°, β = 90.00°, γ = 90.00°
Closest atoms and distances in Å follow each position.
Element x y z (fractional)
1 Sr 0.0000 0.0000 0.5000  2 Zr 3.23
2 Sr 0.0000 0.5000 0.0000  2 Zr 3.23
3 Sr 0.5000 0.0000 0.0000  2 Zr 3.23
4 Zr 0.0000 0.0000 0.0000  6 Sr 3.23
5 F 0.5000 0.5000 0.5000  12 Sr 4.57

Calculated values
Crystal system   cubic
Space-group type   Pm-3m, No. 221
Relative energy among the computed polymorphs   1053 meV per atom
ΔE_f (raw)   1.82 eV/f.u.


Record 19
DFT (GGA-PBE) results for a geometry-optimized Zn2HPd8 structure.

a = 7.5304 Å, b = 7.5304 Å, c = 7.5304 Å
α = 137.40°, β = 54.52°, γ = 147.59°
Closest atoms and distances in Å follow each position.
Element x y z (fractional)
1 Zn 0.1918 0.0000 0.1918  9 Pd 2.52-2.75
2 Zn 0.8082 0.0000 0.8082  9 Pd 2.52-2.75
3 H 0.5516 0.0516 0.5000  5 Pd 1.89-2.00
4 Pd 0.0011 0.0011 0.0000  2 Zn 2.57, 2 Pd 2.74
5 Pd 0.0015 0.5015 0.5000  1 H 1.89
6 Pd 0.2045 0.4998 0.7048  4 Zn 2.52-2.74, 1 Pd 2.74
7 Pd 0.3928 0.2522 0.6454  1 H 2.00
8 Pd 0.3928 0.7474 0.1406  1 H 2.00
9 Pd 0.6068 0.2522 0.8594  1 H 2.00
10 Pd 0.6068 0.7474 0.3546  1 H 2.00
11 Pd 0.7950 0.4998 0.2952  4 Zn 2.52-2.74, 1 Pd 2.74

Calculated values
Crystal system   orthorhombic
Space-group type   Imm2, No. 44


Record 20
DFT (GGA-PBE) results for a geometry-optimized PrEr2Ga structure.

a = 4.7757 Å, b = 4.7757 Å, c = 4.7281 Å
α = 90.00°, β = 90.00°, γ = 90.00°
Closest atoms and distances in Å follow each position.
Element x y z (fractional)
1 Pr 0.0000 0.0000 0.0000  8 Er 3.36, 4 Ga 3.38
2 Er 0.0000 0.5000 0.5000  4 Pr 3.36, 4 Ga 3.36, 4 Er 3.38
3 Er 0.5000 0.0000 0.5000  4 Pr 3.36, 4 Ga 3.36, 4 Er 3.38
4 Ga 0.5000 0.5000 0.0000  8 Er 3.36, 4 Pr 3.38

Calculated values
Crystal system   tetragonal
Space-group type   P4/mmm, No. 123
ΔH_f (0 K)   -224 meV per atom
Relative energy among the computed polymorphs   66 meV per atom


Number 1: calculated total energy -20.4 eV for the cell shown. Number 2: calculated total energy -21.0 eV for the cell shown. Number 3: calculated total energy -29.4 eV for the cell shown. Number 4: calculated total energy -38.3 eV for the cell shown. Number 5: calculated total energy -69.0 eV for the cell shown. Number 6: calculated total energy -33.1 eV for the cell shown. Number 7: calculated total energy -41.9 eV for the cell shown. Number 8: calculated total energy -46.9 eV for the cell shown. Number 9: calculated total energy -23.8 eV for the cell shown. Number 10: calculated total energy -19.2 eV for the cell shown. Number 11: calculated total energy -30.2 eV for the cell shown. Number 12: calculated total energy -15.5 eV for the cell shown. Number 13: calculated total energy -48.5 eV for the cell shown. Number 14: calculated total energy -59.5 eV for the cell shown. Number 15: calculated total energy -59.0 eV for the cell shown. Number 16: calculated total energy -21.4 eV for the cell shown. Number 17: calculated total energy -15.1 eV for the cell shown. Number 18: calculated total energy -13.6 eV for the cell shown. Number 19: calculated total energy -50.0 eV for the cell shown. Number 20: calculated total energy -17.8 eV for the cell shown.